--- 1 ---
Crystalline TcB3H at its relaxed geometry. Source: the Alexandria database, functional GGA-PBE.

```
data_TcB3H
_cell_length_a 3.292
_cell_length_b 3.292
_cell_length_c 3.292
_cell_angle_alpha 90.00
_cell_angle_beta 90.00
_cell_angle_gamma 90.00
_symmetry_space_group_name_H-M 'P 1'
_symmetry_Int_Tables_number 1
_symmetry_space_group_name_Hall 'P 1'
loop_
_atom_site_label
_atom_site_type_symbol
_atom_site_fract_x
_atom_site_fract_y
_atom_site_fract_z
Tc1 Tc 0.500 0.500 0.500
B1 B 0.000 0.000 0.500
B2 B 0.500 0.000 0.000
B3 B 0.000 0.500 0.000
H1 H 0.000 0.000 0.000
```

crystal system = cubic
size of the total moment = 0.000 μB/atom
symmetry = Pm-3m

=====

--- 2 ---
Crystalline TcB3H at its relaxed geometry. Source: the Alexandria database, functional GGA-PBE.

```
data_TcB3H
_cell_length_a 4.085
_cell_length_b 4.085
_cell_length_c 4.085
_cell_angle_alpha 90.00
_cell_angle_beta 90.00
_cell_angle_gamma 90.00
_symmetry_space_group_name_H-M 'P 1'
_symmetry_Int_Tables_number 1
_symmetry_space_group_name_Hall 'P 1'
loop_
_atom_site_label
_atom_site_type_symbol
_atom_site_fract_x
_atom_site_fract_y
_atom_site_fract_z
Tc1 Tc 0.000 0.000 0.000
B1 B 0.500 0.000 0.000
B2 B 0.000 0.500 0.000
B3 B 0.000 0.000 0.500
H1 H 0.500 0.500 0.500
```

crystal system = cubic
size of the total moment = 0.186 μB/atom
symmetry = Pm-3m

=====

Energies in kJ/mol of atoms, measured from the most stable structure: 1 0.0; 2 54.8.

=====

--- 1 ---
Crystalline Tc2BH at its relaxed geometry. Source: the Alexandria database, functional GGA-PBE.

```
data_Tc2BH
_cell_length_a 4.470
_cell_length_b 4.470
_cell_length_c 5.372
_cell_angle_alpha 65.42
_cell_angle_beta 65.42
_cell_angle_gamma 90.00
_symmetry_space_group_name_H-M 'P 1'
_symmetry_Int_Tables_number 1
_symmetry_space_group_name_Hall 'P 1'
loop_
_atom_site_label
_atom_site_type_symbol
_atom_site_fract_x
_atom_site_fract_y
_atom_site_fract_z
Tc1 Tc 0.169 0.625 0.250
Tc2 Tc 0.375 0.419 0.750
Tc3 Tc 0.875 0.831 0.750
Tc4 Tc 0.581 0.125 0.250
B1 B 0.750 0.250 0.500
B2 B 0.000 0.000 0.000
H1 H 0.500 0.500 0.000
H2 H 0.250 0.750 0.500
```

crystal system = tetragonal
size of the total moment = 0.000 μB/atom
symmetry = I-42d

=====

--- 2 ---
Crystalline Tc2BH at its relaxed geometry. Source: the Alexandria database, functional GGA-PBE.

```
data_Tc2BH
_cell_length_a 3.043
_cell_length_b 3.043
_cell_length_c 5.995
_cell_angle_alpha 75.30
_cell_angle_beta 75.30
_cell_angle_gamma 60.00
_symmetry_space_group_name_H-M 'P 1'
_symmetry_Int_Tables_number 1
_symmetry_space_group_name_Hall 'P 1'
loop_
_atom_site_label
_atom_site_type_symbol
_atom_site_fract_x
_atom_site_fract_y
_atom_site_fract_z
H1 H 0.000 0.000 0.000
Tc1 Tc 0.100 0.100 0.700
Tc2 Tc 0.900 0.900 0.300
B1 B 0.500 0.500 0.500
```

crystal system = trigonal
size of the total moment = 0.000 μB/atom
symmetry = R-3m

=====

--- 3 ---
Crystalline Tc2BH at its relaxed geometry. Source: the Alexandria database, functional GGA-PBE.

```
data_Tc2BH
_cell_length_a 3.799
_cell_length_b 3.799
_cell_length_c 3.799
_cell_angle_alpha 60.00
_cell_angle_beta 60.00
_cell_angle_gamma 60.00
_symmetry_space_group_name_H-M 'P 1'
_symmetry_Int_Tables_number 1
_symmetry_space_group_name_Hall 'P 1'
loop_
_atom_site_label
_atom_site_type_symbol
_atom_site_fract_x
_atom_site_fract_y
_atom_site_fract_z
Tc1 Tc 0.250 0.250 0.250
Tc2 Tc 0.750 0.750 0.750
B1 B 0.500 0.500 0.500
H1 H 0.000 0.000 0.000
```

crystal system = cubic
size of the total moment = 0.000 μB/atom
symmetry = Fm-3m

=====

Energies in kJ/mol of atoms, measured from the most stable structure: 1 33.1; 2 0.0; 3 22.9.

=====

--- 1 ---
Crystalline BTe2H at its relaxed geometry. Source: the Alexandria database, functional GGA-PBE.

```
data_BTe2H
_cell_length_a 7.254
_cell_length_b 7.254
_cell_length_c 7.254
_cell_angle_alpha 32.51
_cell_angle_beta 32.51
_cell_angle_gamma 32.51
_symmetry_space_group_name_H-M 'P 1'
_symmetry_Int_Tables_number 1
_symmetry_space_group_name_Hall 'P 1'
loop_
_atom_site_label
_atom_site_type_symbol
_atom_site_fract_x
_atom_site_fract_y
_atom_site_fract_z
H1 H 0.500 0.500 0.500
Te1 Te 0.901 0.901 0.901
Te2 Te 0.099 0.099 0.099
B1 B 0.000 0.000 0.000
```

crystal system = trigonal
size of the total moment = 0.000 μB/atom
symmetry = R-3m

=====

--- 2 ---
Crystalline BTe2H at its relaxed geometry. Source: the Alexandria database, functional GGA-PBE.

```
data_BTe2H
_cell_length_a 4.515
_cell_length_b 4.515
_cell_length_c 4.515
_cell_angle_alpha 60.00
_cell_angle_beta 60.00
_cell_angle_gamma 60.00
_symmetry_space_group_name_H-M 'P 1'
_symmetry_Int_Tables_number 1
_symmetry_space_group_name_Hall 'P 1'
loop_
_atom_site_label
_atom_site_type_symbol
_atom_site_fract_x
_atom_site_fract_y
_atom_site_fract_z
Te1 Te 0.750 0.750 0.750
Te2 Te 0.250 0.250 0.250
B1 B 0.500 0.500 0.500
H1 H 0.000 0.000 0.000
```

crystal system = cubic
size of the total moment = 0.000 μB/atom
symmetry = Fm-3m

=====

--- 3 ---
Crystalline BTe2H at its relaxed geometry. Source: the Alexandria database, functional GGA-PBE.

```
data_BTe2H
_cell_length_a 5.415
_cell_length_b 5.415
_cell_length_c 6.534
_cell_angle_alpha 65.52
_cell_angle_beta 65.52
_cell_angle_gamma 90.00
_symmetry_space_group_name_H-M 'P 1'
_symmetry_Int_Tables_number 1
_symmetry_space_group_name_Hall 'P 1'
loop_
_atom_site_label
_atom_site_type_symbol
_atom_site_fract_x
_atom_site_fract_y
_atom_site_fract_z
H1 H 0.500 0.500 0.000
H2 H 0.250 0.750 0.500
Te1 Te 0.117 0.625 0.250
Te2 Te 0.633 0.125 0.250
Te3 Te 0.375 0.367 0.750
Te4 Te 0.875 0.883 0.750
B1 B 0.750 0.250 0.500
B2 B 0.000 0.000 0.000
```

crystal system = tetragonal
size of the total moment = 0.000 μB/atom
symmetry = I-42d

=====

--- 4 ---
Crystalline BTe2H at its relaxed geometry. Source: the Alexandria database, functional GGA-PBE.

```
data_BTe2H
_cell_length_a 7.154
_cell_length_b 7.154
_cell_length_c 7.154
_cell_angle_alpha 29.56
_cell_angle_beta 29.56
_cell_angle_gamma 29.56
_symmetry_space_group_name_H-M 'P 1'
_symmetry_Int_Tables_number 1
_symmetry_space_group_name_Hall 'P 1'
loop_
_atom_site_label
_atom_site_type_symbol
_atom_site_fract_x
_atom_site_fract_y
_atom_site_fract_z
H1 H 0.000 0.000 0.000
Te1 Te 0.098 0.098 0.098
Te2 Te 0.902 0.902 0.902
B1 B 0.500 0.500 0.500
```

crystal system = trigonal
size of the total moment = 0.000 μB/atom
symmetry = R-3m

=====

Energies in kJ/mol of atoms, measured from the most stable structure: 1 49.5; 2 68.1; 3 0.0; 4 25.8.

=====

--- 1 ---
Crystalline ThBH at its relaxed geometry. Source: the Alexandria database, functional GGA-PBE.

```
data_ThBH
_cell_length_a 3.896
_cell_length_b 4.214
_cell_length_c 5.535
_cell_angle_alpha 93.53
_cell_angle_beta 110.61
_cell_angle_gamma 90.00
_symmetry_space_group_name_H-M 'P 1'
_symmetry_Int_Tables_number 1
_symmetry_space_group_name_Hall 'P 1'
loop_
_atom_site_label
_atom_site_type_symbol
_atom_site_fract_x
_atom_site_fract_y
_atom_site_fract_z
B1 B 0.103 0.228 0.207
B2 B 0.897 0.772 0.793
Th1 Th 0.373 0.243 0.747
Th2 Th 0.627 0.757 0.253
H1 H 0.180 0.490 0.359
H2 H 0.820 0.510 0.641
```

crystal system = monoclinic
size of the total moment = 0.000 μB/atom
symmetry = C2/m

=====

--- 2 ---
Crystalline ThBH at its relaxed geometry. Source: the Alexandria database, functional GGA-PBE.

```
data_ThBH
_cell_length_a 3.846
_cell_length_b 3.846
_cell_length_c 4.129
_cell_angle_alpha 117.76
_cell_angle_beta 117.76
_cell_angle_gamma 90.00
_symmetry_space_group_name_H-M 'P 1'
_symmetry_Int_Tables_number 1
_symmetry_space_group_name_Hall 'P 1'
loop_
_atom_site_label
_atom_site_type_symbol
_atom_site_fract_x
_atom_site_fract_y
_atom_site_fract_z
Th1 Th 0.942 0.942 0.885
B1 B 0.352 0.352 0.705
H1 H 0.555 0.555 0.111
```

crystal system = tetragonal
size of the total moment = 0.000 μB/atom
symmetry = I4mm

=====

Energies in kJ/mol of atoms, measured from the most stable structure: 1 4.7; 2 0.0.

=====

--- 1 ---
Crystalline TiB2H at its relaxed geometry. Source: the Alexandria database, functional GGA-PBE.

```
data_TiB2H
_cell_length_a 3.638
_cell_length_b 3.638
_cell_length_c 3.638
_cell_angle_alpha 60.00
_cell_angle_beta 60.00
_cell_angle_gamma 60.00
_symmetry_space_group_name_H-M 'P 1'
_symmetry_Int_Tables_number 1
_symmetry_space_group_name_Hall 'P 1'
loop_
_atom_site_label
_atom_site_type_symbol
_atom_site_fract_x
_atom_site_fract_y
_atom_site_fract_z
B1 B 0.750 0.750 0.750
B2 B 0.250 0.250 0.250
Ti1 Ti 0.500 0.500 0.500
H1 H 0.000 0.000 0.000
```

crystal system = cubic
size of the total moment = 0.000 μB/atom
symmetry = Fm-3m

=====

--- 2 ---
Crystalline TiB2H at its relaxed geometry. Source: the Alexandria database, functional GGA-PBE.

```
data_TiB2H
_cell_length_a 3.285
_cell_length_b 3.285
_cell_length_c 6.364
_cell_angle_alpha 75.04
_cell_angle_beta 75.04
_cell_angle_gamma 90.00
_symmetry_space_group_name_H-M 'P 1'
_symmetry_Int_Tables_number 1
_symmetry_space_group_name_Hall 'P 1'
loop_
_atom_site_label
_atom_site_type_symbol
_atom_site_fract_x
_atom_site_fract_y
_atom_site_fract_z
Ti1 Ti 0.000 0.000 0.000
Ti2 Ti 0.750 0.250 0.500
B1 B 0.375 0.625 0.750
B2 B 0.375 0.625 0.250
B3 B 0.875 0.625 0.750
B4 B 0.375 0.125 0.250
H1 H 0.250 0.750 0.500
H2 H 0.500 0.500 0.000
```

crystal system = tetragonal
size of the total moment = 0.000 μB/atom
symmetry = I4_1/amd

=====

Energies in kJ/mol of atoms, measured from the most stable structure: 1 87.6; 2 0.0.

=====

--- 1 ---
Crystalline TiB3H at its relaxed geometry. Source: the Alexandria database, functional GGA-PBE.

```
data_TiB3H
_cell_length_a 3.286
_cell_length_b 3.286
_cell_length_c 3.286
_cell_angle_alpha 90.00
_cell_angle_beta 90.00
_cell_angle_gamma 90.00
_symmetry_space_group_name_H-M 'P 1'
_symmetry_Int_Tables_number 1
_symmetry_space_group_name_Hall 'P 1'
loop_
_atom_site_label
_atom_site_type_symbol
_atom_site_fract_x
_atom_site_fract_y
_atom_site_fract_z
B1 B 0.000 0.500 0.000
B2 B 0.500 0.000 0.000
B3 B 0.000 0.000 0.500
H1 H 0.000 0.000 0.000
Ti1 Ti 0.500 0.500 0.500
```

crystal system = cubic
size of the total moment = 0.000 μB/atom
symmetry = Pm-3m

=====

--- 2 ---
Crystalline TiB3H at its relaxed geometry. Source: the Alexandria database, functional GGA-PBE.

```
data_TiB3H
_cell_length_a 4.298
_cell_length_b 4.298
_cell_length_c 4.298
_cell_angle_alpha 90.00
_cell_angle_beta 90.00
_cell_angle_gamma 90.00
_symmetry_space_group_name_H-M 'P 1'
_symmetry_Int_Tables_number 1
_symmetry_space_group_name_Hall 'P 1'
loop_
_atom_site_label
_atom_site_type_symbol
_atom_site_fract_x
_atom_site_fract_y
_atom_site_fract_z
H1 H 0.500 0.500 0.500
B1 B 0.000 0.000 0.500
B2 B 0.000 0.500 0.000
B3 B 0.500 0.000 0.000
Ti1 Ti 0.000 0.000 0.000
```

crystal system = cubic
size of the total moment = 0.036 μB/atom
symmetry = Pm-3m

=====

Energies in kJ/mol of atoms, measured from the most stable structure: 1 0.0; 2 168.5.

=====

--- 1 ---
Crystalline TlBH3 at its relaxed geometry. Source: the Alexandria database, functional GGA-PBE.

```
data_TlBH3
_cell_length_a 3.585
_cell_length_b 3.585
_cell_length_c 3.585
_cell_angle_alpha 90.00
_cell_angle_beta 90.00
_cell_angle_gamma 90.00
_symmetry_space_group_name_H-M 'P 1'
_symmetry_Int_Tables_number 1
_symmetry_space_group_name_Hall 'P 1'
loop_
_atom_site_label
_atom_site_type_symbol
_atom_site_fract_x
_atom_site_fract_y
_atom_site_fract_z
H1 H 0.000 0.000 0.500
H2 H 0.500 0.000 0.000
H3 H 0.000 0.500 0.000
B1 B 0.000 0.000 0.000
Tl1 Tl 0.500 0.500 0.500
```

crystal system = cubic
size of the total moment = 0.000 μB/atom
symmetry = Pm-3m

=====

--- 2 ---
Crystalline TlBH3 at its relaxed geometry. Source: the Alexandria database, functional GGA-PBE.

```
data_TlBH3
_cell_length_a 6.766
_cell_length_b 7.226
_cell_length_c 7.396
_cell_angle_alpha 130.85
_cell_angle_beta 90.00
_cell_angle_gamma 90.00
_symmetry_space_group_name_H-M 'P 1'
_symmetry_Int_Tables_number 1
_symmetry_space_group_name_Hall 'P 1'
loop_
_atom_site_label
_atom_site_type_symbol
_atom_site_fract_x
_atom_site_fract_y
_atom_site_fract_z
Tl1 Tl 0.108 0.359 0.614
Tl2 Tl 0.892 0.641 0.386
Tl3 Tl 0.608 0.141 0.886
Tl4 Tl 0.392 0.859 0.114
B1 B 0.249 0.870 0.674
B2 B 0.251 0.370 0.174
B3 B 0.751 0.130 0.326
B4 B 0.749 0.630 0.826
H1 H 0.906 0.041 0.223
H2 H 0.185 0.413 0.052
H3 H 0.094 0.959 0.777
H4 H 0.406 0.459 0.277
H5 H 0.815 0.587 0.948
H6 H 0.594 0.541 0.723
H7 H 0.840 0.763 0.810
H8 H 0.340 0.737 0.690
H9 H 0.160 0.237 0.190
H10 H 0.660 0.263 0.310
H11 H 0.315 0.913 0.552
H12 H 0.685 0.087 0.448
```

crystal system = monoclinic
size of the total moment = 0.000 μB/atom
symmetry = P2_1/c

=====

Energies in kJ/mol of atoms, measured from the most stable structure: 1 67.9; 2 0.0.

=====

--- 1 ---
Crystalline TlB2H at its relaxed geometry. Source: the Alexandria database, functional GGA-PBE.

```
data_TlB2H
_cell_length_a 3.196
_cell_length_b 3.196
_cell_length_c 11.471
_cell_angle_alpha 81.99
_cell_angle_beta 81.99
_cell_angle_gamma 90.00
_symmetry_space_group_name_H-M 'P 1'
_symmetry_Int_Tables_number 1
_symmetry_space_group_name_Hall 'P 1'
loop_
_atom_site_label
_atom_site_type_symbol
_atom_site_fract_x
_atom_site_fract_y
_atom_site_fract_z
Tl1 Tl 0.750 0.250 0.500
Tl2 Tl 0.000 0.000 0.000
B1 B 0.375 0.625 0.250
B2 B 0.375 0.625 0.750
B3 B 0.375 0.125 0.250
B4 B 0.875 0.625 0.750
H1 H 0.500 0.500 0.000
H2 H 0.250 0.750 0.500
```

crystal system = tetragonal
size of the total moment = 0.000 μB/atom
symmetry = I4_1/amd

=====

--- 2 ---
Crystalline TlB2H at its relaxed geometry. Source: the Alexandria database, functional GGA-PBE.

```
data_TlB2H
_cell_length_a 4.087
_cell_length_b 4.087
_cell_length_c 4.087
_cell_angle_alpha 60.00
_cell_angle_beta 60.00
_cell_angle_gamma 60.00
_symmetry_space_group_name_H-M 'P 1'
_symmetry_Int_Tables_number 1
_symmetry_space_group_name_Hall 'P 1'
loop_
_atom_site_label
_atom_site_type_symbol
_atom_site_fract_x
_atom_site_fract_y
_atom_site_fract_z
Tl1 Tl 0.500 0.500 0.500
B1 B 0.250 0.250 0.250
B2 B 0.750 0.750 0.750
H1 H 0.000 0.000 0.000
```

crystal system = cubic
size of the total moment = 0.000 μB/atom
symmetry = Fm-3m

=====

Energies in kJ/mol of atoms, measured from the most stable structure: 1 0.0; 2 109.0.